# GGA-PBE SrCa5Cd6, relaxed
# Mass density ... 4.6 Mg/m³
# Energy of formation from the pure elements ... -0.35 eV per atom
# Crystal system ... monoclinic
data_SrCa5Cd6
_chemical_formula_sum 'Sr1 Ca5 Cd6'
_symmetry_space_group_name_H-M 'P 1 2/m 1'
_symmetry_Int_Tables_number 10
_cell_length_a 5.523
_cell_length_b 7.664
_cell_length_c 8.698
_cell_angle_alpha 90.00
_cell_angle_beta 108.34
_cell_angle_gamma 90.00
loop_
_symmetry_equiv_pos_as_xyz
'x,y,z'
'-x,-y,-z'
'-x,y,-z'
'x,-y,z'
loop_
_atom_site_label
_atom_site_type_symbol
_atom_site_fract_x
_atom_site_fract_y
_atom_site_fract_z
Sr1 Sr 0.000 0.000 0.000
Ca1 Ca 0.000 0.500 0.000
Ca2 Ca 0.332 0.000 0.665
Ca3 Ca 0.335 0.500 0.670
Cd1 Cd 0.171 0.256 0.341
Cd2 Cd 0.500 0.259 0.000